# 1
BeVAg: optimized geometry, GGA-PBE.

abc: 3.283 7.520 7.520
angles: 27.05 90.00 90.00
Sites, in units of the cell vectors:
Be1 0.000 0.000 0.000
Be2 0.500 0.499 0.499
V1 0.000 0.382 0.382
V2 0.500 0.872 0.872
Ag1 0.000 0.620 0.620
Ag2 0.500 0.222 0.222

Properties
Its formation energy is 259 meV/atom. The space group is Amm2 (38). The spin magnetization comes out at 0.0 μB per formula unit. For the energy, the calculation gives -4.97 eV/atom.

---

# 2
ZrCrMo2: optimized geometry, GGA-PBE.

abc: 4.507 4.507 4.507
angles: 60.00 60.00 60.00
Sites, in units of the cell vectors:
Zr1 0.000 0.000 0.000
Cr1 0.750 0.750 0.750
Mo1 0.250 0.250 0.250
Mo2 0.500 0.500 0.500

Properties
Its formation energy is 91 meV/atom. The space group is F-43m (216). The spin magnetization comes out at 0.0 μB per formula unit. For the energy, the calculation gives -9.87 eV/atom.

---

# 3
RbTm2Se: optimized geometry, GGA-PBE.

abc: 11.210 11.210 11.210
angles: 19.63 19.63 19.63
Sites, in units of the cell vectors:
Rb1 0.000 0.000 0.000
Tm1 0.114 0.114 0.114
Tm2 0.886 0.886 0.886
Se1 0.500 0.500 0.500

Properties
The space group is R-3m (166). The value obtained for the uncorrected formation energy is -479.2 meV/atom. The spin magnetization comes out at 0.0 μB per formula unit. For the energy, the calculation gives -3.83 eV/atom.

---

# 4
VAu3Cl: optimized geometry, GGA-PBE.

abc: 4.993 4.993 4.993
angles: 90.00 90.00 90.00
Sites, in units of the cell vectors:
V1 0.000 0.000 0.000
Au1 0.000 0.000 0.500
Au2 0.000 0.500 0.000
Au3 0.500 0.000 0.000
Cl1 0.500 0.500 0.500

Properties
The space group is Pm-3m (221). The value obtained for the uncorrected formation energy is 902.9 meV/atom. The spin magnetization comes out at 2.3 μB per formula unit. For the energy, the calculation gives -3.26 eV/atom.

---

# 5
PW: optimized geometry, GGA-PBE.

abc: 5.977 5.973 5.012
angles: 65.25 65.16 49.60
Sites, in units of the cell vectors:
P1 0.077 0.673 0.673
P2 0.327 0.923 0.923
P3 0.673 0.077 0.077
P4 0.923 0.327 0.327
W1 0.185 0.565 0.185
W2 0.435 0.815 0.435
W3 0.565 0.185 0.565
W4 0.815 0.435 0.815

Properties
Its formation energy is 123 meV/atom. The space group is Fddd (70). The spin magnetization comes out at 0.0 μB per formula unit. For the energy, the calculation gives -9.06 eV/atom.

---

# 6
Ca3Fe5N12: optimized geometry, GGA-PBE.

abc: 10.538 10.538 10.538
angles: 109.47 109.47 109.47
Sites, in units of the cell vectors:
Ca1 0.125 0.250 0.375
Ca2 0.125 0.375 0.750
Ca3 0.250 0.375 0.125
Ca4 0.250 0.875 0.625
Ca5 0.375 0.125 0.250
Ca6 0.375 0.750 0.125
Ca7 0.625 0.250 0.875
Ca8 0.625 0.875 0.750
Ca9 0.750 0.125 0.375
Ca10 0.750 0.625 0.875
Ca11 0.875 0.625 0.250
Ca12 0.875 0.750 0.625
Fe1 0.000 0.000 0.000
Fe2 0.000 0.000 0.500
Fe3 0.000 0.500 0.000
Fe4 0.000 0.500 0.500
Fe5 0.125 0.750 0.875
Fe6 0.125 0.875 0.250
Fe7 0.250 0.125 0.875
Fe8 0.250 0.625 0.375
Fe9 0.375 0.250 0.625
Fe10 0.375 0.625 0.750
Fe11 0.500 0.000 0.000
Fe12 0.500 0.000 0.500
Fe13 0.500 0.500 0.000
Fe14 0.500 0.500 0.500
Fe15 0.625 0.375 0.250
Fe16 0.625 0.750 0.375
Fe17 0.750 0.375 0.625
Fe18 0.750 0.875 0.125
Fe19 0.875 0.125 0.750
Fe20 0.875 0.250 0.125
N1 0.004 0.193 0.106
N2 0.004 0.312 0.899
N3 0.087 0.693 0.688
N4 0.087 0.894 0.399
N5 0.101 0.606 0.413
N6 0.101 0.996 0.688
N7 0.106 0.004 0.193
N8 0.106 0.601 0.913
N9 0.188 0.193 0.587
N10 0.188 0.496 0.601
N11 0.193 0.106 0.004
N12 0.193 0.587 0.188
N13 0.307 0.312 0.913
N14 0.307 0.496 0.394
N15 0.312 0.899 0.004
N16 0.312 0.913 0.307
N17 0.394 0.307 0.496
N18 0.394 0.587 0.899
N19 0.399 0.087 0.894
N20 0.399 0.812 0.504
N21 0.413 0.101 0.606
N22 0.413 0.812 0.807
N23 0.496 0.394 0.307
N24 0.496 0.601 0.188
N25 0.504 0.399 0.812
N26 0.504 0.606 0.693
N27 0.587 0.188 0.193
N28 0.587 0.899 0.394
N29 0.601 0.188 0.496
N30 0.601 0.913 0.106
N31 0.606 0.413 0.101
N32 0.606 0.693 0.504
N33 0.688 0.087 0.693
N34 0.688 0.101 0.996
N35 0.693 0.504 0.606
N36 0.693 0.688 0.087
N37 0.807 0.413 0.812
N38 0.807 0.894 0.996
N39 0.812 0.504 0.399
N40 0.812 0.807 0.413
N41 0.894 0.399 0.087
N42 0.894 0.996 0.807
N43 0.899 0.004 0.312
N44 0.899 0.394 0.587
N45 0.913 0.106 0.601
N46 0.913 0.307 0.312
N47 0.996 0.688 0.101
N48 0.996 0.807 0.894

Properties
The space group is Ia-3d (230). The value obtained for the uncorrected formation energy is 106.3 meV/atom. The spin magnetization comes out at 4.3 μB per formula unit. For the energy, the calculation gives -7.30 eV/atom.

---

# 7
KNbCuAs3: optimized geometry, GGA-PBE.

abc: 9.242 3.600 9.289
angles: 90.00 117.16 90.00
Sites, in units of the cell vectors:
K1 0.234 0.250 0.474
K2 0.766 0.750 0.526
Nb1 0.384 0.250 0.066
Nb2 0.616 0.750 0.934
Cu1 0.113 0.750 0.035
Cu2 0.887 0.250 0.965
As1 0.075 0.250 0.832
As2 0.301 0.750 0.818
As3 0.374 0.750 0.266
As4 0.626 0.250 0.734
As5 0.699 0.250 0.182
As6 0.925 0.750 0.168

Properties
Its formation energy is -283 meV/atom. The space group is P2_1/m (11). The spin magnetization comes out at 0.0 μB per formula unit. For the energy, the calculation gives -5.15 eV/atom.

---

# 8
Pr5Y4Th2: optimized geometry, GGA-PBE.

abc: 9.003 3.543 11.947
angles: 90.00 93.86 90.00
Sites, in units of the cell vectors:
Pr1 0.000 0.000 0.000
Pr2 0.081 0.000 0.291
Pr3 0.305 0.000 0.832
Pr4 0.695 0.000 0.168
Pr5 0.919 0.000 0.709
Y1 0.200 0.500 0.549
Y2 0.343 0.500 0.105
Y3 0.657 0.500 0.895
Y4 0.800 0.500 0.451
Th1 0.455 0.000 0.369
Th2 0.545 0.000 0.631

Properties
Its formation energy is 116 meV/atom. The space group is P2/m (10). The spin magnetization comes out at 0.0 μB per formula unit. For the energy, the calculation gives -5.76 eV/atom.